Record 1
## CeSmMgOs (PBE)

Data for a relaxed CeSmMgOs crystal.

Summary:
Spin magnetization in μB per cell: 0.0
ΔH_f (0 K) in eV/atom: -0.0162

Cell lengths 5.080, 5.080, 5.080 Å; angles 60.00, 60.00, 60.00 degrees
Positions (direct):
Mg 0.000 0.000 0.000
Ce 0.250 0.250 0.250
Sm 0.750 0.750 0.750
Os 0.500 0.500 0.500

Record 2
## Tb2Pm5TmSc (PBE)

Data for a relaxed Tb2Pm5TmSc crystal.

Summary:
Spin magnetization in μB per cell: 0.0
ΔH_f (0 K) in eV/atom: 0.1243

Cell lengths 5.349, 11.250, 10.171 Å; angles 90.00, 90.00, 103.75 degrees
Positions (direct):
Pm 0.373 0.746 0.008
Tb 0.115 0.231 0.257
Tb 0.885 0.769 0.757
Pm 0.721 0.442 0.197
Sc 0.787 0.574 0.509
Pm 0.627 0.254 0.508
Tb 0.884 0.768 0.259
Pm 0.000 0.999 0.008
Pm 0.278 0.557 0.321
Pm 0.500 0.000 0.758
Tb 0.116 0.232 0.759
Tm 0.602 0.203 0.008
Pm 0.722 0.443 0.821
Tm 0.398 0.797 0.508
Pm 0.279 0.558 0.697
Pm 0.500 0.000 0.258
Pm 0.000 0.001 0.508
Sc 0.213 0.426 0.009

Record 3
## LiAc2Cu2O6 (PBE)

Data for a relaxed LiAc2Cu2O6 crystal.

Summary:
Energy relative to the elements, uncorrected in eV/atom: -1.743
Spin magnetization in μB per cell: 2.1

Cell lengths 5.740, 5.740, 6.341 Å; angles 63.09, 63.09, 60.00 degrees
Last column: magnetic moment on the atom in μB.
Positions (direct):
O 0.757 0.210 0.275  0.19
O 0.790 0.243 0.725  0.19
Cu 0.579 0.579 0.262  0.42
O 0.243 0.790 0.725  0.19
Cu 0.421 0.421 0.738  0.42
Ac 0.218 0.218 0.345  -0.01
Li 0.000 0.000 0.000  0.00
O 0.210 0.757 0.275  0.19
O 0.757 0.757 0.275  0.19
Ac 0.782 0.782 0.655  -0.01
O 0.243 0.243 0.725  0.19

Record 4
## BiBTe2I (PBE)

Data for a relaxed BiBTe2I crystal.

Summary:
Energy relative to the elements, uncorrected in eV/atom: 1.300
Spin magnetization in μB per cell: 0.0

Cell lengths 5.963, 5.963, 6.099 Å; angles 90.00, 90.00, 90.00 degrees
Positions (direct):
B 0.500 0.500 0.500
I 0.000 0.000 0.500
Te 0.000 0.500 0.000
Bi 0.000 0.000 0.000
Te 0.500 0.000 0.000

Question: Which of these has the highest spin magnetization?
Answer: LiAc2Cu2O6

Repeat the third record exactly.
## LiAc2Cu2O6 (PBE)

Data for a relaxed LiAc2Cu2O6 crystal.

Summary:
Energy relative to the elements, uncorrected in eV/atom: -1.743
Spin magnetization in μB per cell: 2.1

Cell lengths 5.740, 5.740, 6.341 Å; angles 63.09, 63.09, 60.00 degrees
Last column: magnetic moment on the atom in μB.
Positions (direct):
O 0.757 0.210 0.275  0.19
O 0.790 0.243 0.725  0.19
Cu 0.579 0.579 0.262  0.42
O 0.243 0.790 0.725  0.19
Cu 0.421 0.421 0.738  0.42
Ac 0.218 0.218 0.345  -0.01
Li 0.000 0.000 0.000  0.00
O 0.210 0.757 0.275  0.19
O 0.757 0.757 0.275  0.19
Ac 0.782 0.782 0.655  -0.01
O 0.243 0.243 0.725  0.19

Question: What is the spin magnetization in the fourth record?
Answer: 0.0 μB per cell